No. 1
LaZr3Tc PBE optimized geometry; volume = 25.58 A^3/atom; energy of formation = 1766 meV/atom; space group = Pm-3m
1.0
5.0382 0.0000 0.0000
0.0000 5.0382 0.0000
0.0000 0.0000 5.0382
La Zr Tc
1 3 1
Cartesian
0.0000 0.0000 0.0000 La
0.0000 0.0000 2.5191 Zr
0.0000 2.5191 0.0000 Zr
2.5191 0.0000 0.0000 Zr
2.5191 2.5191 2.5191 Tc


No. 2
LaZr2Tc PBE optimized geometry; volume = 23.68 A^3/atom; energy of formation = 44 meV/atom; space group = C2/m
1.0
5.8251 -1.7129 0.0000
5.8251 1.7129 0.0000
-2.4365 0.0000 4.7465
La Zr Tc
1 2 1
Cartesian
0.0000 0.0000 0.0000 La
0.6913 0.0000 3.3556 Zr
8.5225 0.0000 1.3909 Zr
4.6069 0.0000 2.3732 Tc


No. 3
La2ZrTc PBE optimized geometry; volume = 25.66 A^3/atom; energy of formation = 282 meV/atom; space group = P4/mmm
1.0
3.5368 0.0000 0.0000
0.0000 3.5368 0.0000
0.0000 0.0000 8.2055
La Zr Tc
2 1 1
Cartesian
0.0000 0.0000 1.7665 La
0.0000 0.0000 6.4390 La
1.7684 1.7684 4.1027 Zr
1.7684 1.7684 0.0000 Tc


No. 4
La2ZrTc PBE optimized geometry; volume = 25.24 A^3/atom; energy of formation = 151 meV/atom; space group = Pm
1.0
3.4496 0.0000 0.0000
0.0000 4.5087 0.0000
-1.6151 0.0000 6.4907
La Zr Tc
2 1 1
Cartesian
0.0000 0.0000 0.0000 La
-0.1692 2.2544 4.4218 La
1.3085 0.0000 2.7100 Zr
2.3395 2.2544 1.6090 Tc


No. 5
La2ZrTc PBE optimized geometry; volume = 25.18 A^3/atom; energy of formation = 406 meV/atom; space group = Cmmm
1.0
3.1945 -3.7980 0.0000
3.1945 3.7980 0.0000
0.0000 0.0000 4.1508
La Zr Tc
2 1 1
Cartesian
1.5973 1.8990 0.0000 La
1.5973 -1.8990 0.0000 La
0.0000 0.0000 2.0754 Zr
3.1945 0.0000 2.0754 Tc


No. 6
LaZr2Tc PBE optimized geometry; volume = 23.64 A^3/atom; energy of formation = 583 meV/atom; space group = I-42d
1.0
-2.1123 2.1123 10.5953
2.1123 -2.1123 10.5953
2.1123 2.1123 -10.5953
La Zr Tc
2 4 2
Cartesian
0.0000 0.0000 0.0000 La
0.0000 2.1123 5.2976 La
1.0561 -0.9777 7.9465 Zr
1.1346 1.0561 2.6488 Zr
1.0561 3.0899 -2.6488 Zr
0.9777 1.0561 13.2441 Zr
2.1123 0.0000 5.2976 Tc
0.0000 0.0000 10.5953 Tc


No. 7
La2ZrTc PBE optimized geometry; volume = 28.64 A^3/atom; energy of formation = 467 meV/atom; space group = I-42d
1.0
-4.4849 4.4849 2.8472
4.4849 -4.4849 2.8472
4.4849 4.4849 -2.8472
La Zr Tc
4 2 2
Cartesian
6.7274 1.4274 -0.7118 La
1.4274 2.2425 0.7118 La
-2.2425 3.0576 2.1354 La
3.0576 2.2425 3.5590 La
4.4849 0.0000 1.4236 Zr
0.0000 0.0000 2.8472 Zr
0.0000 0.0000 0.0000 Tc
0.0000 4.4849 1.4236 Tc


No. 8
La2ZrTc PBE optimized geometry; volume = 25.12 A^3/atom; energy of formation = 434 meV/atom; space group = Fm-3m
1.0
0.0000 3.6897 3.6897
3.6897 0.0000 3.6897
3.6897 3.6897 0.0000
La Zr Tc
2 1 1
Cartesian
1.8448 1.8448 1.8448 La
5.5345 5.5345 5.5345 La
0.0000 0.0000 0.0000 Zr
3.6897 3.6897 3.6897 Tc


Number 1: Fermi-level density of states 9.62 states/eV per cell, total magnetization 0.0 μB per formula unit, theoretical density 6.63 Mg/m³. Number 2: Fermi-level density of states 3.85 states/eV per cell, total magnetization 0.0 μB per formula unit, theoretical density 7.35 Mg/m³. Number 3: Fermi-level density of states 4.96 states/eV per cell, total magnetization 0.0 μB per formula unit, theoretical density 7.56 Mg/m³. Number 4: Fermi-level density of states 4.52 states/eV per cell, total magnetization 0.0 μB per formula unit, theoretical density 7.68 Mg/m³. Number 5: Fermi-level density of states 4.47 states/eV per cell, total magnetization 0.0 μB per formula unit, theoretical density 7.70 Mg/m³. Number 6: Fermi-level density of states 9.36 states/eV per cell, total magnetization 0.2 μB per formula unit, theoretical density 7.37 Mg/m³. Number 7: Fermi-level density of states 11.42 states/eV per cell, total magnetization 0.0 μB per formula unit, theoretical density 6.77 Mg/m³. Number 8: Fermi-level density of states 7.11 states/eV per cell, total magnetization 1.5 μB per formula unit, theoretical density 7.72 Mg/m³.